PaMnSeO2 | PBE+U | optimized geometry

Total energy ... -82.41 eV per cell
Crystal system ... monoclinic
Calculated volume ... 188.29 Å³ per cell

CIF file:
```
data_PaMnSeO2
_symmetry_space_group_name_H-M 'P 1 21/m 1'
_symmetry_Int_Tables_number 11
_cell_length_a 6.8567
_cell_length_b 4.0047
_cell_length_c 7.6452
_cell_angle_alpha 90.00
_cell_angle_beta 116.24
_cell_angle_gamma 90.00
loop_
_symmetry_equiv_pos_as_xyz
'x,y,z'
'-x,-y,-z'
'-x,y+1/2,-z'
'x,-y+1/2,z'
loop_
_atom_site_label
_atom_site_fract_x
_atom_site_fract_y
_atom_site_fract_z
Pa1 0.1908 0.2500 0.4381
Mn1 0.1567 0.2500 0.9477
Se1 0.4855 0.7500 0.7297
O1 0.0037 0.7500 0.3832
O2 0.0175 0.7500 0.8716
```